This record from the Alexandria database describes a relaxed structure of TbSmThTc. The functional is PBE.

Values from the calculation:
formation energy from the elements = 0.7 eV per formula unit
SG = Cm, No. 8

Cell: 4.9150 4.9150 5.8504 Å, 89.73 114.91 120.29°
Last column: nearest neighbours and their distance in Å.
Fractional coordinates of all 4 atoms:
1 Tb 0.4000 0.0640 0.4640  3 Th 3.16, 4 Sm 3.26-3.49, 3 Tc 3.51
2 Sm 0.9448 0.8379 0.7827  3 Tc 3.17, 4 Tb 3.26-3.49, 3 Th 3.52
3 Th 0.8847 0.3057 0.1905  3 Tc 2.90-2.93, 3 Tb 3.16
4 Tc 0.4626 0.5968 0.0594  3 Th 2.90-2.93, 3 Sm 3.17